VASP calculation (PBE) on KAc2Al after structural relaxation.

The structure in POSCAR format:
```
KAc2Al
1.0
3.956 0.000 0.000
0.000 3.956 0.000
0.000 0.000 11.076
K Ac Al
1 2 1
Direct
0.000 0.000 0.000
0.500 0.500 0.330
0.500 0.500 0.670
0.000 0.000 0.500
```

Computed properties:
Space-group type: No. 123


VASP calculation (PBE) on Pm2Ho3Au2 after structural relaxation.

The structure in POSCAR format:
```
Pm2Ho3Au2
1.0
6.427 -1.869 0.000
6.427 1.869 0.000
-4.143 0.000 8.217
Pm Ho Au
2 3 2
Direct
0.151 0.151 0.314
0.849 0.849 0.686
0.386 0.386 0.054
0.500 0.500 0.500
0.614 0.614 0.946
0.166 0.166 0.734
0.834 0.834 0.266
```

Computed properties:
Space-group type: No. 12


VASP calculation (PBE) on Li2CaZn after structural relaxation.

The structure in POSCAR format:
```
Li2CaZn
1.0
5.607 -1.766 0.000
5.607 1.766 0.000
-2.265 0.000 4.653
Li Ca Zn
2 1 1
Direct
0.212 0.212 0.209
0.788 0.788 0.791
0.000 0.000 0.500
0.500 0.500 0.000
```

Computed properties:
Space-group type: No. 12


VASP calculation (PBE) on Ni3C after structural relaxation.

The structure in POSCAR format:
```
Ni3C
1.0
-1.623 1.623 7.686
1.623 -1.623 7.686
1.623 1.623 -7.686
Ni C
6 2
Direct
0.000 0.500 0.500
0.122 0.122 0.000
0.250 0.750 0.500
0.500 0.000 0.500
0.750 0.250 0.500
0.878 0.878 0.000
0.326 0.326 0.000
0.674 0.674 0.000
```

Computed properties:
ΔE to the lowest computed polymorph: 664.2 meV per atom
Space-group type: No. 139


VASP calculation (PBE) on Pu2HRh6 after structural relaxation.

The structure in POSCAR format:
```
Pu2HRh6
1.0
5.807 0.000 0.000
-2.904 5.029 0.000
0.000 0.000 4.622
Pu H Rh
2 1 6
Direct
0.333 0.667 0.256
0.667 0.333 0.744
0.000 0.000 0.500
0.165 0.330 0.752
0.165 0.835 0.752
0.330 0.165 0.248
0.670 0.835 0.752
0.835 0.165 0.248
0.835 0.670 0.248
```

Computed properties:
ΔE to the lowest computed polymorph: 47.1 meV per atom
Space-group type: No. 164


VASP calculation (PBE) on PmHo12In6 after structural relaxation.

The structure in POSCAR format:
```
PmHo12In6
1.0
6.921 3.996 3.718
-6.921 3.996 3.718
0.000 -7.991 3.718
Pm Ho In
1 12 6
Direct
0.000 0.000 0.000
0.123 0.500 0.877
0.123 0.877 0.500
0.179 0.445 0.445
0.445 0.179 0.445
0.445 0.445 0.179
0.500 0.123 0.877
0.500 0.877 0.123
0.555 0.555 0.821
0.555 0.821 0.555
0.821 0.555 0.555
0.877 0.123 0.500
0.877 0.500 0.123
0.244 0.244 0.701
0.244 0.701 0.244
0.299 0.756 0.756
0.701 0.244 0.244
0.756 0.299 0.756
0.756 0.756 0.299
```

Computed properties:
Space-group type: No. 166


no.,uncorrected energy (eV per atom),D(E_F) (states/eV/f.u.)
1,-3.2356,5.72
2,-4.7599,9.01
3,-1.8471,2.23
4,-5.9160,4.64
5,-8.7891,25.26
6,-4.0458,27.08